No. 1
{
  "formula": "Ce2HfNiS5",
  "functional": "PBE",
  "state": "relaxed",
  "lattice": [[1.8789, -8.0435, 0.0000], [1.8789, 8.0435, 0.0000], [0.0000, 0.0000, 11.6421]],
  "species": ["Ce", "Ce", "Ce", "Ce", "Hf", "Hf", "Ni", "Ni", "S", "S", "S", "S", "S", "S", "S", "S", "S", "S"],
  "fractional_positions": [[0.1107, 0.8893, 0.5000], [0.1218, 0.8782, 0.8548], [0.8782, 0.1218, 0.3548], [0.8893, 0.1107, 0.0000], [0.1770, 0.8230, 0.1750], [0.8230, 0.1770, 0.6750], [0.4380, 0.5621, 0.5788], [0.5621, 0.4380, 0.0788], [0.0225, 0.9775, 0.1760], [0.3054, 0.6946, 0.5230], [0.3066, 0.6934, 0.8307], [0.3406, 0.6594, 0.1759], [0.5003, 0.4997, 0.4099], [0.4997, 0.5003, 0.9099], [0.6594, 0.3406, 0.6759], [0.6934, 0.3066, 0.3307], [0.6946, 0.3054, 0.0230], [0.9775, 0.0225, 0.6760]],
  "raw_formation_energy_kj_per_mol_atoms": -160
}

***

No. 2
{
  "formula": "CeHfTcNi",
  "functional": "PBE",
  "state": "relaxed",
  "lattice": [[0.0000, 3.3286, 3.3286], [3.3286, 0.0000, 3.3286], [3.3286, 3.3286, 0.0000]],
  "species": ["Ce", "Hf", "Tc", "Ni"],
  "fractional_positions": [[0.0000, 0.0000, 0.0000], [0.5000, 0.5000, 0.5000], [0.7500, 0.7500, 0.7500], [0.2500, 0.2500, 0.2500]],
  "formation_enthalpy_0k_ev_per_atom": -0.221
}

***

No. 3
{
  "formula": "Ce2HfNpP4",
  "functional": "PBE",
  "state": "relaxed",
  "lattice": [[6.8182, 0.0000, 0.0000], [0.0000, 3.9442, 0.0000], [-2.2568, 0.0000, 6.4738]],
  "species": ["Ce", "Ce", "Hf", "Np", "P", "P", "P", "P"],
  "fractional_positions": [[0.0000, 0.0000, 0.0000], [0.5000, 0.5000, 0.0000], [0.0000, 0.5000, 0.5000], [0.5000, 0.0000, 0.5000], [0.2358, 0.0000, 0.7296], [0.2469, 0.5000, 0.2664], [0.7531, 0.5000, 0.7336], [0.7642, 0.0000, 0.2704]],
  "formation_enthalpy_0k_ev_per_atom": -1.303
}

***

No. 4
{
  "formula": "Ce2Hf2O7",
  "functional": "PBE",
  "state": "relaxed",
  "lattice": [[3.5311, -3.8739, 0.0000], [3.5311, 3.8739, 0.0000], [0.0000, 0.0000, 5.3752]],
  "species": ["Ce", "Ce", "Hf", "Hf", "O", "O", "O", "O", "O", "O", "O"],
  "fractional_positions": [[0.2463, 0.2463, 0.0000], [0.7537, 0.7537, 0.0000], [0.2718, 0.7282, 0.5000], [0.7282, 0.2718, 0.5000], [0.0000, 0.0000, 0.5000], [0.0000, 0.5000, 0.2597], [0.0000, 0.5000, 0.7403], [0.5000, 0.0000, 0.2597], [0.5000, 0.0000, 0.7403], [0.5000, 0.5000, 0.2672], [0.5000, 0.5000, 0.7328]],
  "raw_formation_energy_kj_per_mol_atoms": -323
}

***

No. 5
{
  "formula": "Ce4HfO10",
  "functional": "PBE",
  "state": "relaxed",
  "lattice": [[1.9090, 1.1021, 15.4902], [-1.9090, 1.1021, 15.4902], [0.0000, -2.2043, 15.4902]],
  "species": ["Ce", "Ce", "Ce", "Ce", "Hf", "O", "O", "O", "O", "O", "O", "O", "O", "O", "O"],
  "fractional_positions": [[0.1033, 0.1033, 0.1033], [0.2989, 0.2989, 0.2989], [0.7011, 0.7011, 0.7011], [0.8967, 0.8967, 0.8967], [0.5000, 0.5000, 0.5000], [0.0516, 0.0516, 0.0516], [0.1535, 0.1535, 0.1535], [0.2472, 0.2472, 0.2472], [0.3505, 0.3505, 0.3505], [0.4543, 0.4543, 0.4543], [0.5457, 0.5457, 0.5457], [0.6495, 0.6495, 0.6495], [0.7528, 0.7528, 0.7528], [0.8465, 0.8465, 0.8465], [0.9484, 0.9484, 0.9484]],
  "raw_formation_energy_kj_per_mol_atoms": -332
}

***

No. 6
{
  "formula": "Ce3HfO",
  "functional": "PBE",
  "state": "relaxed",
  "lattice": [[4.8557, 0.0000, 0.0000], [0.0000, 4.8557, 0.0000], [0.0000, 0.0000, 4.8557]],
  "species": ["Ce", "Ce", "Ce", "Hf", "O"],
  "fractional_positions": [[0.0000, 0.0000, 0.5000], [0.0000, 0.5000, 0.0000], [0.5000, 0.0000, 0.0000], [0.5000, 0.5000, 0.5000], [0.0000, 0.0000, 0.0000]],
  "raw_formation_energy_kj_per_mol_atoms": -100
}

***

No. 7
{
  "formula": "Ce2HfO",
  "functional": "PBE",
  "state": "relaxed",
  "lattice": [[1.5932, 0.9199, 9.3833], [-1.5932, 0.9199, 9.3833], [0.0000, -1.8397, 9.3833]],
  "species": ["Ce", "Ce", "Hf", "O"],
  "fractional_positions": [[0.1092, 0.1092, 0.1092], [0.8908, 0.8908, 0.8908], [0.0000, 0.0000, 0.0000], [0.5000, 0.5000, 0.5000]],
  "raw_formation_energy_kj_per_mol_atoms": -97
}

***

No. 8
{
  "formula": "CeHf2O6",
  "functional": "PBE",
  "state": "relaxed",
  "lattice": [[5.3096, -1.9563, 0.0000], [5.3096, 1.9563, 0.0000], [-3.5494, 0.0000, 6.1883]],
  "species": ["Ce", "Hf", "Hf", "O", "O", "O", "O", "O", "O"],
  "fractional_positions": [[0.0000, 0.0000, 0.0000], [0.1780, 0.1780, 0.6161], [0.8220, 0.8220, 0.3839], [0.0202, 0.0202, 0.6961], [0.2698, 0.2698, 0.3959], [0.3594, 0.3594, 0.9102], [0.6406, 0.6406, 0.0898], [0.7302, 0.7302, 0.6041], [0.9798, 0.9798, 0.3039]],
  "raw_formation_energy_kj_per_mol_atoms": -335
}

***

No. 9
{
  "formula": "Ce2Hf2O7",
  "functional": "PBE",
  "state": "relaxed",
  "lattice": [[0.0000, 5.3622, 5.3622], [5.3622, 0.0000, 5.3622], [5.3622, 5.3622, 0.0000]],
  "species": ["Ce", "Ce", "Ce", "Ce", "Hf", "Hf", "Hf", "Hf", "O", "O", "O", "O", "O", "O", "O", "O", "O", "O", "O", "O", "O", "O"],
  "fractional_positions": [[0.0000, 0.0000, 0.0000], [0.0000, 0.0000, 0.5000], [0.0000, 0.5000, 0.0000], [0.5000, 0.0000, 0.0000], [0.0000, 0.5000, 0.5000], [0.5000, 0.0000, 0.5000], [0.5000, 0.5000, 0.0000], [0.5000, 0.5000, 0.5000], [0.1250, 0.1250, 0.1250], [0.1681, 0.1681, 0.5819], [0.1681, 0.5819, 0.1681], [0.1681, 0.5819, 0.5819], [0.4181, 0.4181, 0.8319], [0.4181, 0.8319, 0.4181], [0.4181, 0.8319, 0.8319], [0.5819, 0.1681, 0.1681], [0.5819, 0.1681, 0.5819], [0.5819, 0.5819, 0.1681], [0.8319, 0.4181, 0.4181], [0.8319, 0.4181, 0.8319], [0.8319, 0.8319, 0.4181], [0.8750, 0.8750, 0.8750]],
  "raw_formation_energy_kj_per_mol_atoms": -338
}

***

No. 10
{
  "formula": "Ce6HfO12",
  "functional": "PBE",
  "state": "relaxed",
  "lattice": [[5.0920, 2.9398, 3.2138], [-5.0920, 2.9398, 3.2138], [0.0000, -5.8797, 3.2138]],
  "species": ["Ce", "Ce", "Ce", "Ce", "Ce", "Ce", "Hf", "O", "O", "O", "O", "O", "O", "O", "O", "O", "O", "O", "O"],
  "fractional_positions": [[0.1027, 0.6369, 0.7959], [0.2041, 0.8973, 0.3631], [0.3631, 0.2041, 0.8973], [0.6369, 0.7959, 0.1027], [0.7959, 0.1027, 0.6369], [0.8973, 0.3631, 0.2041], [0.5000, 0.5000, 0.5000], [0.0648, 0.3231, 0.9113], [0.0887, 0.9352, 0.6769], [0.1950, 0.5507, 0.4299], [0.3231, 0.9113, 0.0648], [0.4299, 0.1950, 0.5507], [0.4493, 0.5701, 0.8050], [0.5507, 0.4299, 0.1950], [0.5701, 0.8050, 0.4493], [0.6769, 0.0887, 0.9352], [0.8050, 0.4493, 0.5701], [0.9113, 0.0648, 0.3231], [0.9352, 0.6769, 0.0887]],
  "raw_formation_energy_kj_per_mol_atoms": -336
}

***

No. 11
{
  "formula": "CeHfPb2O6",
  "functional": "PBE",
  "state": "relaxed",
  "lattice": [[5.1173, -3.0090, 0.0000], [5.1173, 3.0090, 0.0000], [-3.5265, 0.0000, 5.0107]],
  "species": ["Ce", "Hf", "Pb", "Pb", "O", "O", "O", "O", "O", "O"],
  "fractional_positions": [[0.0000, 0.0000, 0.0000], [0.5000, 0.5000, 0.5000], [0.2453, 0.2453, 0.7132], [0.7547, 0.7547, 0.2868], [0.1992, 0.6864, 0.6792], [0.2591, 0.2591, 0.1730], [0.3136, 0.8008, 0.3208], [0.6864, 0.1992, 0.6792], [0.7409, 0.7409, 0.8270], [0.8008, 0.3136, 0.3208]],
  "raw_formation_energy_kj_per_mol_atoms": -239
}

***

No. 12
{
  "formula": "CeHfSe2O",
  "functional": "PBE",
  "state": "relaxed",
  "lattice": [[3.8405, 0.0000, 0.0000], [0.0000, 3.8405, 0.0000], [0.0000, 0.0000, 13.5122]],
  "species": ["Ce", "Ce", "Hf", "Hf", "Se", "Se", "Se", "Se", "O", "O"],
  "fractional_positions": [[0.2500, 0.2500, 0.0964], [0.7500, 0.7500, 0.9036], [0.2500, 0.2500, 0.5850], [0.7500, 0.7500, 0.4150], [0.2500, 0.2500, 0.3821], [0.2500, 0.2500, 0.7893], [0.7500, 0.7500, 0.2107], [0.7500, 0.7500, 0.6179], [0.2500, 0.7500, 0.0000], [0.7500, 0.2500, 0.0000]],
  "raw_formation_energy_kj_per_mol_atoms": -199
}

***

No. 13
{
  "formula": "CeHfSi2O8",
  "functional": "PBE",
  "state": "relaxed",
  "lattice": [[-3.4178, 3.4178, 3.0639], [3.4178, -3.4178, 3.0639], [3.4178, 3.4178, -3.0639]],
  "species": ["Ce", "Hf", "Si", "Si", "O", "O", "O", "O", "O", "O", "O", "O"],
  "fractional_positions": [[0.0000, 0.0000, 0.0000], [0.2500, 0.7500, 0.5000], [0.5000, 0.5000, 0.0000], [0.7500, 0.2500, 0.5000], [0.3324, 0.1430, 0.8107], [0.3324, 0.5217, 0.1893], [0.3919, 0.0669, 0.3250], [0.4783, 0.6676, 0.8107], [0.7419, 0.0669, 0.6750], [0.8570, 0.6676, 0.1893], [0.9331, 0.2581, 0.3250], [0.9331, 0.6081, 0.6750]],
  "raw_formation_energy_kj_per_mol_atoms": -300
}

***

No. 14
{
  "formula": "CeHfTe2O",
  "functional": "PBE",
  "state": "relaxed",
  "lattice": [[3.9774, 0.0000, 0.0000], [0.0000, 3.9774, 0.0000], [0.0000, 0.0000, 14.4604]],
  "species": ["Ce", "Ce", "Hf", "Hf", "Te", "Te", "Te", "Te", "O", "O"],
  "fractional_positions": [[0.2500, 0.2500, 0.0857], [0.7500, 0.7500, 0.9143], [0.2500, 0.2500, 0.5726], [0.7500, 0.7500, 0.4274], [0.2500, 0.2500, 0.3691], [0.2500, 0.2500, 0.7907], [0.7500, 0.7500, 0.2093], [0.7500, 0.7500, 0.6309], [0.2500, 0.7500, 0.0000], [0.7500, 0.2500, 0.0000]],
  "raw_formation_energy_kj_per_mol_atoms": -170
}

***

No. 15
{
  "formula": "Ce2HfOs",
  "functional": "PBE",
  "state": "relaxed",
  "lattice": [[1.5240, 0.8799, 10.8203], [-1.5240, 0.8799, 10.8203], [0.0000, -1.7598, 10.8203]],
  "species": ["Ce", "Ce", "Hf", "Os"],
  "fractional_positions": [[0.0942, 0.0942, 0.0942], [0.9058, 0.9058, 0.9058], [0.0000, 0.0000, 0.0000], [0.5000, 0.5000, 0.5000]],
  "formation_enthalpy_0k_ev_per_atom": 0.320
}

***

No. 16
{
  "formula": "CeHfOs2",
  "functional": "PBE",
  "state": "relaxed",
  "lattice": [[3.2525, 0.0000, 0.0000], [0.0000, 3.2525, 0.0000], [0.0000, 0.0000, 7.1451]],
  "species": ["Ce", "Hf", "Os", "Os"],
  "fractional_positions": [[0.0000, 0.0000, 0.0000], [0.0000, 0.0000, 0.5000], [0.5000, 0.5000, 0.2762], [0.5000, 0.5000, 0.7238]],
  "formation_enthalpy_0k_ev_per_atom": -0.341
}

***

No. 17
{
  "formula": "CeHfOs4",
  "functional": "PBE",
  "state": "relaxed",
  "lattice": [[0.0000, 3.7631, 3.7631], [3.7631, 0.0000, 3.7631], [3.7631, 3.7631, 0.0000]],
  "species": ["Ce", "Hf", "Os", "Os", "Os", "Os"],
  "fractional_positions": [[0.0000, 0.0000, 0.0000], [0.2500, 0.2500, 0.2500], [0.1259, 0.6247, 0.6247], [0.6247, 0.1259, 0.6247], [0.6247, 0.6247, 0.1259], [0.6247, 0.6247, 0.6247]],
  "formation_enthalpy_0k_ev_per_atom": -0.208
}

***

No. 18
{
  "formula": "CeHfOsPd",
  "functional": "PBE",
  "state": "relaxed",
  "lattice": [[0.0000, 3.4009, 3.4009], [3.4009, 0.0000, 3.4009], [3.4009, 3.4009, 0.0000]],
  "species": ["Ce", "Hf", "Os", "Pd"],
  "fractional_positions": [[0.0000, 0.0000, 0.0000], [0.5000, 0.5000, 0.5000], [0.7500, 0.7500, 0.7500], [0.2500, 0.2500, 0.2500]],
  "formation_enthalpy_0k_ev_per_atom": -0.391
}

***

No. 19
{
  "formula": "CeHfOsRh",
  "functional": "PBE",
  "state": "relaxed",
  "lattice": [[0.0000, 3.3674, 3.3674], [3.3674, 0.0000, 3.3674], [3.3674, 3.3674, 0.0000]],
  "species": ["Ce", "Hf", "Os", "Rh"],
  "fractional_positions": [[0.0000, 0.0000, 0.0000], [0.5000, 0.5000, 0.5000], [0.2500, 0.2500, 0.2500], [0.7500, 0.7500, 0.7500]],
  "formation_enthalpy_0k_ev_per_atom": -0.459
}

***

No. 20
{
  "formula": "CeHfOsRu",
  "functional": "PBE",
  "state": "relaxed",
  "lattice": [[0.0000, 3.3541, 3.3541], [3.3541, 0.0000, 3.3541], [3.3541, 3.3541, 0.0000]],
  "species": ["Ce", "Hf", "Os", "Ru"],
  "fractional_positions": [[0.0000, 0.0000, 0.0000], [0.5000, 0.5000, 0.5000], [0.2500, 0.2500, 0.2500], [0.7500, 0.7500, 0.7500]],
  "formation_enthalpy_0k_ev_per_atom": -0.346
}

***

No. 21
{
  "formula": "CeHfTcOs",
  "functional": "PBE",
  "state": "relaxed",
  "lattice": [[0.0000, 3.3603, 3.3603], [3.3603, 0.0000, 3.3603], [3.3603, 3.3603, 0.0000]],
  "species": ["Ce", "Hf", "Tc", "Os"],
  "fractional_positions": [[0.0000, 0.0000, 0.0000], [0.5000, 0.5000, 0.5000], [0.7500, 0.7500, 0.7500], [0.2500, 0.2500, 0.2500]],
  "formation_enthalpy_0k_ev_per_atom": -0.256
}

***

No. 22
{
  "formula": "CeHfZnOs",
  "functional": "PBE",
  "state": "relaxed",
  "lattice": [[0.0000, 3.4057, 3.4057], [3.4057, 0.0000, 3.4057], [3.4057, 3.4057, 0.0000]],
  "species": ["Ce", "Hf", "Zn", "Os"],
  "fractional_positions": [[0.0000, 0.0000, 0.0000], [0.5000, 0.5000, 0.5000], [0.2500, 0.2500, 0.2500], [0.7500, 0.7500, 0.7500]],
  "formation_enthalpy_0k_ev_per_atom": -0.163
}

***

No. 23
{
  "formula": "CeHfP",
  "functional": "PBE",
  "state": "relaxed",
  "lattice": [[4.4416, 0.0000, 0.0000], [-2.2208, 3.8465, 0.0000], [0.0000, 0.0000, 3.9260]],
  "species": ["Ce", "Hf", "P"],
  "fractional_positions": [[0.0000, 0.0000, 0.0000], [0.3333, 0.6667, 0.5000], [0.6667, 0.3333, 0.5000]],
  "formation_enthalpy_0k_ev_per_atom": -0.524
}

***

No. 24
{
  "formula": "CeHfP2",
  "functional": "PBE",
  "state": "relaxed",
  "lattice": [[1.9342, 1.1167, 6.3602], [-1.9342, 1.1167, 6.3602], [0.0000, -2.2335, 6.3602]],
  "species": ["Ce", "Hf", "P", "P"],
  "fractional_positions": [[0.0000, 0.0000, 0.0000], [0.5000, 0.5000, 0.5000], [0.2421, 0.2421, 0.2421], [0.7579, 0.7579, 0.7579]],
  "formation_enthalpy_0k_ev_per_atom": -1.429
}

***

In eV/atom, the calculated total energy values for the records above are, in order, -7.022, -8.230, -8.353, -9.389, -8.993, -7.577, -7.698, -9.648, -9.543, -9.015, -7.779, -7.628, -8.641, -7.184, -7.942, -9.928, -10.342, -8.469, -9.076, -9.445, -9.627, -7.261, -7.623, -8.106.